No. 1
Below is a PBEsol-optimized structure of H3WCl, with properties calculated at the meta-GGA SCAN level.

CIF file:
```
data_H3WCl
_cell_length_a 3.627
_cell_length_b 3.627
_cell_length_c 3.627
_cell_angle_alpha 90.00
_cell_angle_beta 90.00
_cell_angle_gamma 90.00
_symmetry_space_group_name_H-M 'P m -3 m'
_symmetry_Int_Tables_number 221
_symmetry_space_group_name_Hall '-P 4 2 3'
loop_
_atom_site_label
_atom_site_type_symbol
_atom_site_fract_x
_atom_site_fract_y
_atom_site_fract_z
H1 H 0.000 0.000 0.500
W1 W 0.000 0.000 0.000
Cl1 Cl 0.500 0.500 0.500
```

***

No. 2
Below is a PBEsol-optimized structure of Zn3HCl, with properties calculated at the meta-GGA SCAN level.

CIF file:
```
data_Zn3HCl
_cell_length_a 5.103
_cell_length_b 5.103
_cell_length_c 5.103
_cell_angle_alpha 90.00
_cell_angle_beta 90.00
_cell_angle_gamma 90.00
_symmetry_space_group_name_H-M 'P m -3 m'
_symmetry_Int_Tables_number 221
_symmetry_space_group_name_Hall '-P 4 2 3'
loop_
_atom_site_label
_atom_site_type_symbol
_atom_site_fract_x
_atom_site_fract_y
_atom_site_fract_z
Zn1 Zn 0.000 0.000 0.500
H1 H 0.500 0.500 0.500
Cl1 Cl 0.000 0.000 0.000
```

***

No. 3
Below is a PBEsol-optimized structure of ZrH3Cl, with properties calculated at the meta-GGA SCAN level.

CIF file:
```
data_ZrH3Cl
_cell_length_a 3.639
_cell_length_b 3.639
_cell_length_c 3.639
_cell_angle_alpha 90.00
_cell_angle_beta 90.00
_cell_angle_gamma 90.00
_symmetry_space_group_name_H-M 'P m -3 m'
_symmetry_Int_Tables_number 221
_symmetry_space_group_name_Hall '-P 4 2 3'
loop_
_atom_site_label
_atom_site_type_symbol
_atom_site_fract_x
_atom_site_fract_y
_atom_site_fract_z
Zr1 Zr 0.000 0.000 0.000
H1 H 0.000 0.500 0.500
Cl1 Cl 0.500 0.500 0.500
```

***

No. 4
# Hf3HgCl (meta-GGA SCAN, single point on PBEsol structure)
# ΔE_f (raw): 1136 meV per atom
data_Hf3HgCl
_cell_length_a 5.202
_cell_length_b 5.202
_cell_length_c 5.202
_cell_angle_alpha 90.00
_cell_angle_beta 90.00
_cell_angle_gamma 90.00
_symmetry_space_group_name_H-M 'P m -3 m'
_symmetry_Int_Tables_number 221
_symmetry_space_group_name_Hall '-P 4 2 3'
loop_
_atom_site_label
_atom_site_type_symbol
_atom_site_fract_x
_atom_site_fract_y
_atom_site_fract_z
Hf1 Hf 0.000 0.000 0.500
Hg1 Hg 0.000 0.000 0.000
Cl1 Cl 0.500 0.500 0.500

***

No. 5
# HfHgCl2 (meta-GGA SCAN, single point on PBEsol structure)
# ΔE_f (raw): -1123 meV per atom
data_HfHgCl2
_cell_length_a 3.2040
_cell_length_b 3.2040
_cell_length_c 31.5181
_cell_angle_alpha 90.00
_cell_angle_beta 90.00
_cell_angle_gamma 120.00
_symmetry_space_group_name_H-M 'R -3 m'
_symmetry_Int_Tables_number 166
_symmetry_space_group_name_Hall '-R 3 2"'
loop_
_atom_site_label
_atom_site_type_symbol
_atom_site_fract_x
_atom_site_fract_y
_atom_site_fract_z
Hf1 Hf 0.0000 0.0000 0.0000
Hg1 Hg 0.0000 0.0000 0.5000
Cl1 Cl 0.0000 0.0000 0.3902

***

No. 6
# HfTaHgCl2 (meta-GGA SCAN, single point on PBEsol structure)
# ΔE_f (raw): 224 meV per atom
data_HfTaHgCl2
_cell_length_a 4.745
_cell_length_b 4.745
_cell_length_c 5.538
_cell_angle_alpha 90.00
_cell_angle_beta 90.00
_cell_angle_gamma 90.00
_symmetry_space_group_name_H-M 'P 4/m m m'
_symmetry_Int_Tables_number 123
_symmetry_space_group_name_Hall '-P 4 2'
loop_
_atom_site_label
_atom_site_type_symbol
_atom_site_fract_x
_atom_site_fract_y
_atom_site_fract_z
Hf1 Hf 0.000 0.000 0.000
Ta1 Ta 0.000 0.000 0.500
Hg1 Hg 0.500 0.500 0.500
Cl1 Cl 0.000 0.500 0.000

***

No. 7
# HfHg2WCl (meta-GGA SCAN, single point on PBEsol structure)
# ΔE_f (raw): 1099 meV per atom
data_HfHg2WCl
_cell_length_a 5.281
_cell_length_b 5.281
_cell_length_c 4.312
_cell_angle_alpha 90.00
_cell_angle_beta 90.00
_cell_angle_gamma 90.00
_symmetry_space_group_name_H-M 'P 4/m m m'
_symmetry_Int_Tables_number 123
_symmetry_space_group_name_Hall '-P 4 2'
loop_
_atom_site_label
_atom_site_type_symbol
_atom_site_fract_x
_atom_site_fract_y
_atom_site_fract_z
Hf1 Hf 0.000 0.000 0.000
Hg1 Hg 0.000 0.500 0.500
W1 W 0.500 0.500 0.500
Cl1 Cl 0.500 0.500 0.000

***

No. 8
# Hf2ICl (meta-GGA SCAN, single point on PBEsol structure)
# ΔE_f (raw): 180 meV per atom
data_Hf2ICl
_cell_length_a 6.808
_cell_length_b 6.808
_cell_length_c 6.808
_cell_angle_alpha 90.00
_cell_angle_beta 90.00
_cell_angle_gamma 90.00
_symmetry_space_group_name_H-M 'F m -3 m'
_symmetry_Int_Tables_number 225
_symmetry_space_group_name_Hall '-F 4 2 3'
loop_
_atom_site_label
_atom_site_type_symbol
_atom_site_fract_x
_atom_site_fract_y
_atom_site_fract_z
Hf1 Hf 0.250 0.250 0.250
I1 I 0.000 0.000 0.000
Cl1 Cl 0.000 0.000 0.500

***

no.,spin magnetization (Bohr magnetons per cell),DOS(E_F) (states/eV/atom),VASP energy (eV/atom)
1,2.0,0.461,-16.85
2,0.4,0.420,-9.26
3,0.1,0.599,-8.67
4,0.0,1.442,-51.70
5,0.0,0.265,-37.82
6,2.5,0.759,-42.45
7,1.0,0.847,-54.24
8,3.1,1.176,-42.34